{"formula": "Fe22B6W", "functional": "SCAN", "state": "PBEsol geometry", "rho_g_cm3": 8.75, "energy_ev_per_atom": -17.862, "dos_at_fermi_per_ev_cell": 15.8, "sg": "No. 216", "cell": [[7.346, 0.000, 0.000], [3.673, 6.362, 0.000], [3.673, 2.121, 5.998]], "species": ["Fe", "Fe", "Fe", "Fe", "Fe", "Fe", "Fe", "Fe", "Fe", "Fe", "Fe", "Fe", "Fe", "Fe", "Fe", "Fe", "Fe", "Fe", "Fe", "Fe", "Fe", "Fe", "B", "B", "B", "B", "B", "B", "W"], "frac_coords": [[0.000, 0.000, 0.000], [0.658, 0.342, 0.000], [0.000, 0.342, 0.000], [0.000, 0.342, 0.658], [0.000, 0.000, 0.342], [0.658, 0.000, 0.342], [0.000, 0.658, 0.342], [0.000, 0.000, 0.658], [0.000, 0.658, 0.000], [0.658, 0.000, 0.000], [0.342, 0.658, 0.000], [0.342, 0.000, 0.658], [0.342, 0.000, 0.000], [0.621, 0.137, 0.621], [0.621, 0.621, 0.137], [0.621, 0.621, 0.621], [0.137, 0.621, 0.621], [0.384, 0.849, 0.384], [0.384, 0.384, 0.849], [0.384, 0.384, 0.384], [0.849, 0.384, 0.384], [0.750, 0.750, 0.750], [0.275, 0.275, 0.725], [0.725, 0.275, 0.725], [0.725, 0.275, 0.275], [0.725, 0.725, 0.275], [0.275, 0.725, 0.275], [0.275, 0.725, 0.725], [0.250, 0.250, 0.250]]}